DFT (GGA-PBE) results for a relaxed structure of SmTiTcGe2.

```
SmTiTcGe2
1.0
4.011 0.000 0.000
0.000 4.011 0.000
-2.005 -2.005 5.823
Sm Ge Ti Tc
1 2 1 1
Cartesian
0.000 0.000 0.000
2.005 2.005 1.280
0.000 0.000 4.543
0.000 2.005 2.912
2.005 0.000 2.912
```

Calculated values
calculated volume	93.7	Å³ per cell
VASP energy	-35.51	eV/cell
space-group type	I-4m2 (119)
DFT formation energy	-0.660	eV/atom



DFT (GGA-PBE) results for a relaxed structure of ScTi2N2.

```
ScTi2N2
1.0
-2.878 -1.161 -0.401
1.617 -3.755 -0.729
0.386 1.442 5.262
N Ti Sc
2 2 1
Cartesian
0.646 -2.554 2.761
-1.521 -0.921 1.372
-0.723 -2.844 1.220
-0.151 -0.630 2.912
0.000 0.000 0.000
```

Calculated values
calculated volume	62.5	Å³ per cell
VASP energy	-46.42	eV/cell
space-group type	Immm (71)